1.
This record from Alexandria via LeMat-Bulk describes an optimized crystal structure of Mg4ScIn5. The functional is GGA-PBE.

Computed properties:
Calculated volume (Å³/atom): 23.1
Formation energy from the elements (eV per atom): -0.15
Total moment (μB per atom): 0.0407

Cell and atoms, written as CIF:
```
data_Mg4ScIn5
_chemical_formula_sum 'Mg4 Sc1 In5'
_cell_length_a 3.238
_cell_length_b 3.238
_cell_length_c 22.065
_cell_angle_alpha 90.00
_cell_angle_beta 90.00
_cell_angle_gamma 90.00
_space_group_name_H-M_alt 'P 1'
_space_group_IT_number 1
_space_group_name_Hall 'P 1'
loop_
_atom_site_label
_atom_site_fract_x
_atom_site_fract_y
_atom_site_fract_z
Mg1 0.000 0.000 0.100
Mg2 0.000 0.000 0.301
Mg3 0.000 0.000 0.699
Mg4 0.000 0.000 0.900
Sc1 0.000 0.000 0.500
In1 0.500 0.500 0.000
In2 0.500 0.500 0.201
In3 0.500 0.500 0.401
In4 0.500 0.500 0.599
In5 0.500 0.500 0.799
```

***

2.
This record from Alexandria via LeMat-Bulk describes an optimized crystal structure of Li5GaAu4. The functional is GGA-PBE.

Computed properties:
Calculated volume (Å³/atom): 15.3
Formation energy from the elements (eV per atom): -0.50
Total moment (μB per atom): 0.0000

Cell and atoms, written as CIF:
```
data_Li5GaAu4
_chemical_formula_sum 'Li5 Ga1 Au4'
_cell_length_a 3.220
_cell_length_b 3.220
_cell_length_c 14.768
_cell_angle_alpha 90.00
_cell_angle_beta 90.00
_cell_angle_gamma 90.00
_space_group_name_H-M_alt 'P 1'
_space_group_IT_number 1
_space_group_name_Hall 'P 1'
loop_
_atom_site_label
_atom_site_fract_x
_atom_site_fract_y
_atom_site_fract_z
Li1 0.000 0.000 0.000
Li2 0.000 0.000 0.200
Li3 0.000 0.000 0.395
Li4 0.000 0.000 0.605
Li5 0.000 0.000 0.800
Ga1 0.500 0.500 0.500
Au1 0.500 0.500 0.100
Au2 0.500 0.500 0.302
Au3 0.500 0.500 0.698
Au4 0.500 0.500 0.900
```

***

3.
This record from Alexandria via LeMat-Bulk describes an optimized crystal structure of SrNiIr. The functional is GGA-PBE.

Computed properties:
Calculated volume (Å³/atom): 21.4
Formation energy from the elements (eV per atom): 0.52
Total moment (μB per atom): 0.3867

Cell and atoms, written as CIF:
```
data_SrNiIr
_chemical_formula_sum 'Sr1 Ni1 Ir1'
_cell_length_a 4.495
_cell_length_b 4.495
_cell_length_c 4.495
_cell_angle_alpha 60.00
_cell_angle_beta 60.00
_cell_angle_gamma 60.00
_space_group_name_H-M_alt 'P 1'
_space_group_IT_number 1
_space_group_name_Hall 'P 1'
loop_
_atom_site_label
_atom_site_fract_x
_atom_site_fract_y
_atom_site_fract_z
Sr1 0.000 0.000 0.000
Ni1 0.750 0.750 0.750
Ir1 0.500 0.500 0.500
```

***

4.
This record from Alexandria via LeMat-Bulk describes an optimized crystal structure of MgTl2Te. The functional is GGA-PBE.

Computed properties:
Calculated volume (Å³/atom): 30.5
Electronic total energy (Ry/atom): -0.1873
Total moment (μB per atom): 0.0000

Cell and atoms, written as CIF:
```
data_MgTl2Te
_chemical_formula_sum 'Mg1 Tl2 Te1'
_cell_length_a 6.393
_cell_length_b 6.393
_cell_length_c 6.393
_cell_angle_alpha 142.24
_cell_angle_beta 129.31
_cell_angle_gamma 64.90
_space_group_name_H-M_alt 'P 1'
_space_group_IT_number 1
_space_group_name_Hall 'P 1'
loop_
_atom_site_label
_atom_site_fract_x
_atom_site_fract_y
_atom_site_fract_z
Mg1 0.000 0.000 0.000
Tl1 0.456 0.456 0.000
Tl2 0.731 0.231 0.500
Te1 0.186 0.686 0.500
```

***

5.
This record from Alexandria via LeMat-Bulk describes an optimized crystal structure of K2Pb. The functional is GGA-PBE.

Computed properties:
Calculated volume (Å³/atom): 53.3
Formation energy from the elements (eV per atom): -0.12
Total moment (μB per atom): 0.0000

Cell and atoms, written as CIF:
```
data_K2Pb
_chemical_formula_sum 'K4 Pb2'
_cell_length_a 9.523
_cell_length_b 9.523
_cell_length_c 7.208
_cell_angle_alpha 101.07
_cell_angle_beta 101.07
_cell_angle_gamma 29.94
_space_group_name_H-M_alt 'P 1'
_space_group_IT_number 1
_space_group_name_Hall 'P 1'
loop_
_atom_site_label
_atom_site_fract_x
_atom_site_fract_y
_atom_site_fract_z
K1 0.081 0.081 0.290
K2 0.342 0.342 0.162
K3 0.658 0.658 0.838
K4 0.919 0.919 0.710
Pb1 0.267 0.267 0.634
Pb2 0.733 0.733 0.366
```

***

6.
This record from Alexandria via LeMat-Bulk describes an optimized crystal structure of BaBiF2. The functional is GGA-PBE.

Computed properties:
Calculated volume (Å³/atom): 32.5
Electronic total energy (Ry/atom): -0.3492
Total moment (μB per atom): 0.0568

Cell and atoms, written as CIF:
```
data_BaBiF2
_chemical_formula_sum 'Ba1 Bi1 F2'
_cell_length_a 9.906
_cell_length_b 9.906
_cell_length_c 9.906
_cell_angle_alpha 22.97
_cell_angle_beta 22.97
_cell_angle_gamma 22.97
_space_group_name_H-M_alt 'P 1'
_space_group_IT_number 1
_space_group_name_Hall 'P 1'
loop_
_atom_site_label
_atom_site_fract_x
_atom_site_fract_y
_atom_site_fract_z
Ba1 0.000 0.000 0.000
Bi1 0.500 0.500 0.500
F1 0.293 0.293 0.293
F2 0.707 0.707 0.707
```

***

7.
This record from Alexandria via LeMat-Bulk describes an optimized crystal structure of Hf2Ta2Nb. The functional is GGA-PBE.

Computed properties:
Calculated volume (Å³/atom): 20.8
Formation energy from the elements (eV per atom): 0.34
Total moment (μB per atom): 0.0000

Cell and atoms, written as CIF:
```
data_Hf2Ta2Nb
_chemical_formula_sum 'Hf4 Ta4 Nb2'
_cell_length_a 7.218
_cell_length_b 7.218
_cell_length_c 3.998
_cell_angle_alpha 90.00
_cell_angle_beta 90.00
_cell_angle_gamma 90.00
_space_group_name_H-M_alt 'P 1'
_space_group_IT_number 1
_space_group_name_Hall 'P 1'
loop_
_atom_site_label
_atom_site_fract_x
_atom_site_fract_y
_atom_site_fract_z
Hf1 0.160 0.340 0.000
Hf2 0.340 0.840 0.000
Hf3 0.660 0.160 0.000
Hf4 0.840 0.660 0.000
Ta1 0.141 0.641 0.500
Ta2 0.359 0.141 0.500
Ta3 0.641 0.859 0.500
Ta4 0.859 0.359 0.500
Nb1 0.000 0.000 0.500
Nb2 0.500 0.500 0.500
```

***

8.
This record from Alexandria via LeMat-Bulk describes an optimized crystal structure of LaYHo3Er. The functional is GGA-PBE.

Computed properties:
Calculated volume (Å³/atom): 32.7
Formation energy from the elements (eV per atom): 0.21
Total moment (μB per atom): 0.0000

Cell and atoms, written as CIF:
```
data_LaYHo3Er
_chemical_formula_sum 'La2 Y2 Ho6 Er2'
_cell_length_a 10.188
_cell_length_b 10.188
_cell_length_c 7.083
_cell_angle_alpha 90.97
_cell_angle_beta 90.97
_cell_angle_gamma 32.22
_space_group_name_H-M_alt 'P 1'
_space_group_IT_number 1
_space_group_name_Hall 'P 1'
loop_
_atom_site_label
_atom_site_fract_x
_atom_site_fract_y
_atom_site_fract_z
La1 0.144 0.144 0.025
La2 0.856 0.856 0.975
Y1 0.449 0.449 0.726
Y2 0.551 0.551 0.274
Ho1 0.024 0.024 0.729
Ho2 0.279 0.279 0.758
Ho3 0.337 0.337 0.280
Ho4 0.663 0.663 0.720
Ho5 0.721 0.721 0.242
Ho6 0.976 0.976 0.271
Er1 0.150 0.150 0.453
Er2 0.850 0.850 0.547
```

***

9.
This record from Alexandria via LeMat-Bulk describes an optimized crystal structure of Dy3ThS6. The functional is GGA-PBE.

Computed properties:
Calculated volume (Å³/atom): 23.5
Electronic total energy (Ry/atom): -0.4893
Total moment (μB per atom): 0.0003

Cell and atoms, written as CIF:
```
data_Dy3ThS6
_chemical_formula_sum 'Dy6 Th2 S12'
_cell_length_a 11.055
_cell_length_b 3.945
_cell_length_c 11.349
_cell_angle_alpha 90.00
_cell_angle_beta 108.16
_cell_angle_gamma 90.00
_space_group_name_H-M_alt 'P 1'
_space_group_IT_number 1
_space_group_name_Hall 'P 1'
loop_
_atom_site_label
_atom_site_fract_x
_atom_site_fract_y
_atom_site_fract_z
Dy1 0.067 0.250 0.166
Dy2 0.179 0.750 0.501
Dy3 0.339 0.250 0.918
Dy4 0.661 0.750 0.082
Dy5 0.821 0.250 0.499
Dy6 0.933 0.750 0.834
Th1 0.452 0.250 0.304
Th2 0.548 0.750 0.696
S1 0.020 0.250 0.386
S2 0.104 0.250 0.938
S3 0.242 0.750 0.274
S4 0.309 0.750 0.749
S5 0.384 0.250 0.535
S6 0.418 0.750 0.096
S7 0.582 0.250 0.904
S8 0.616 0.750 0.465
S9 0.691 0.250 0.251
S10 0.758 0.250 0.726
S11 0.896 0.750 0.062
S12 0.980 0.750 0.614
```

***

10.
This record from Alexandria via LeMat-Bulk describes an optimized crystal structure of ReAgPb2O6. The functional is GGA-PBE.

Computed properties:
Calculated volume (Å³/atom): 15.5
Electronic total energy (Ry/atom): -0.4619
Total moment (μB per atom): 0.0000

Cell and atoms, written as CIF:
```
data_ReAgPb2O6
_chemical_formula_sum 'Re2 Ag2 Pb4 O12'
_cell_length_a 9.962
_cell_length_b 9.962
_cell_length_c 9.962
_cell_angle_alpha 36.27
_cell_angle_beta 36.27
_cell_angle_gamma 36.27
_space_group_name_H-M_alt 'P 1'
_space_group_IT_number 1
_space_group_name_Hall 'P 1'
loop_
_atom_site_label
_atom_site_fract_x
_atom_site_fract_y
_atom_site_fract_z
Re1 0.000 0.000 0.000
Re2 0.500 0.500 0.500
Ag1 0.132 0.132 0.132
Ag2 0.868 0.868 0.868
Pb1 0.247 0.247 0.247
Pb2 0.386 0.386 0.386
Pb3 0.614 0.614 0.614
Pb4 0.753 0.753 0.753
O1 0.111 0.111 0.664
O2 0.111 0.664 0.111
O3 0.268 0.680 0.680
O4 0.320 0.320 0.732
O5 0.320 0.732 0.320
O6 0.336 0.889 0.889
O7 0.664 0.111 0.111
O8 0.680 0.268 0.680
O9 0.680 0.680 0.268
O10 0.732 0.320 0.320
O11 0.889 0.336 0.889
O12 0.889 0.889 0.336
```